# 1
First-principles (PBE) data for crystalline Ce8TlSb5 at its relaxed geometry, as listed in Alexandria.

Summary:
Its uncorrected formation energy is -783.1 meV per atom. For the magnetic moment, the calculation gives 10.9 μB per cell.

```
Ce8TlSb5
1.0
-4.7295 4.7295 4.7588
4.7295 -4.7295 4.7588
4.7295 4.7295 -4.7588
Ce Tl Sb
8 1 5
direct
0.1200 0.3750 0.1009 Ce
0.1201 0.3763 0.6000 Ce
0.2741 0.0191 0.8991 Ce
0.4798 0.8799 0.2561 Ce
0.6237 0.2237 0.7439 Ce
0.6250 0.7259 0.7449 Ce
0.7763 0.5202 0.4000 Ce
0.9809 0.8800 0.2551 Ce
0.5000 0.5000 0.0000 Tl
0.2500 0.7500 0.5000 Sb
0.3735 0.2514 0.3727 Sb
0.7486 0.1212 0.1221 Sb
0.8788 0.0009 0.6273 Sb
0.9991 0.6265 0.8779 Sb
```

---

# 2
First-principles (PBE) data for crystalline CeTlSb2 at its relaxed geometry, as listed in Alexandria.

Summary:
Its uncorrected formation energy is -526.6 meV per atom. For the magnetic moment, the calculation gives 0.1 μB per cell. Its distance to the lowest polymorph of the same formula is 0.00 eV per formula unit.

```
CeTlSb2
1.0
4.9863 0.0000 0.0000
0.0000 4.9863 0.0000
0.0000 0.0000 4.3825
Ce Tl Sb
1 1 2
direct
0.0000 0.0000 0.0000 Ce
0.5000 0.5000 0.0000 Tl
0.0000 0.5000 0.5000 Sb
0.5000 0.0000 0.5000 Sb
```

---

# 3
First-principles (PBE) data for crystalline Ce6Tl3Sb at its relaxed geometry, as listed in Alexandria.

Summary:
Its uncorrected formation energy is -221.0 meV per atom. For the magnetic moment, the calculation gives 8.5 μB per cell.

```
Ce6Tl3Sb
1.0
6.0760 0.0000 0.0000
0.0000 8.8076 0.0000
-5.9890 0.0000 10.7039
Ce Tl Sb
12 6 2
direct
0.0188 0.0786 0.2466 Ce
0.0188 0.4214 0.7466 Ce
0.0755 0.6425 0.0566 Ce
0.0755 0.8575 0.5566 Ce
0.4752 0.6392 0.4464 Ce
0.4752 0.8608 0.9464 Ce
0.5248 0.1392 0.0536 Ce
0.5248 0.3608 0.5536 Ce
0.9245 0.1425 0.4434 Ce
0.9245 0.3575 0.9434 Ce
0.9812 0.5786 0.2534 Ce
0.9812 0.9214 0.7534 Ce
0.4213 0.1448 0.7488 Tl
0.4213 0.3552 0.2488 Tl
0.5000 0.0000 0.5000 Tl
0.5000 0.5000 0.0000 Tl
0.5787 0.6448 0.7512 Tl
0.5787 0.8552 0.2512 Tl
0.0000 0.0000 0.0000 Sb
0.0000 0.5000 0.5000 Sb
```